No. 1
First-principles (PBE) data for TlCuSnI4 after structural relaxation, as listed in Alexandria.

Calculated values
Theoretical density: 5.501 g cm⁻³
Magnetization: 0.00 μB per atom
DOS(E_F): 0.000 states/eV/f.u.
Uncorrected formation energy: -0.408 eV per atom

Cell lengths 7.1867, 8.4359, 9.3788 Å; angles 90.00, 108.28, 90.00 degrees
Space group P2_1/m (No. 11)
Asymmetric unit:
Tl1 0.2203 0.2500 0.0526 (multiplicity 2)
Cu1 0.1958 0.7500 0.3124 (multiplicity 2)
Sn1 0.2150 0.2500 0.5551 (multiplicity 2)
I1 0.0140 0.5075 0.7329 (multiplicity 4)
I2 0.4370 0.7500 0.1459 (multiplicity 2)
I3 0.4522 0.7500 0.5871 (multiplicity 2)

---

No. 2
First-principles (PBE) data for LaIn2Os after structural relaxation, as listed in Alexandria.

Calculated values
Theoretical density: 9.353 g cm⁻³
Magnetization: 0.00 μB per atom
VASP energy: -0.1882 hartree per atom
DOS(E_F): 3.205 states/eV/f.u.

Cell lengths 4.2532, 4.2532, 21.9368 Å; angles 90.00, 90.00, 90.00 degrees
Space group I-42d (No. 122)
Asymmetric unit:
La1 0.0000 0.0000 0.0000 (multiplicity 4)
In1 0.2242 0.2500 0.6250 (multiplicity 8)
Os1 0.0000 0.0000 0.5000 (multiplicity 4)

---

No. 3
First-principles (PBE) data for Sr2HfUAs4 after structural relaxation, as listed in Alexandria.

Calculated values
Theoretical density: 7.058 g cm⁻³
Magnetization: 0.23 μB per atom
VASP energy: -0.2363 hartree per atom
DOS(E_F): 6.916 states/eV/f.u.

Cell lengths 7.1381, 4.1399, 7.4816 Å; angles 90.00, 108.44, 90.00 degrees
Space group P2/m (No. 10)
Asymmetric unit:
Sr1 0.0000 0.0000 0.0000 (multiplicity 1)
Sr2 0.5000 0.5000 0.0000 (multiplicity 1)
Hf1 0.0000 0.5000 0.5000 (multiplicity 1)
U1 0.5000 0.0000 0.5000 (multiplicity 1)
As1 0.2302 0.0000 0.7112 (multiplicity 2)
As2 0.2527 0.5000 0.2855 (multiplicity 2)

---

No. 4
First-principles (PBE) data for TcHgIrO2 after structural relaxation, as listed in Alexandria.

Calculated values
Theoretical density: 10.127 g cm⁻³
Magnetization: 0.65 μB per atom
Polymorph energy (0 for the lowest one): 0.9698 eV per atom
DOS(E_F): 6.292 states/eV/f.u.
Uncorrected formation energy: 1.457 eV per atom

Cell lengths 4.0094, 4.0094, 5.3328 Å; angles 90.00, 90.00, 90.00 degrees
Space group P4/mmm (No. 123)
Asymmetric unit:
Tc1 0.0000 0.0000 0.0000 (multiplicity 1)
Hg1 0.5000 0.5000 0.5000 (multiplicity 1)
Ir1 0.5000 0.5000 0.0000 (multiplicity 1)
O1 0.0000 0.5000 0.5000 (multiplicity 2)

---

No. 5
First-principles (PBE) data for Nd5Sm2DyTh after structural relaxation, as listed in Alexandria.

Calculated values
Theoretical density: 7.482 g cm⁻³
Magnetization: 0.00 μB per atom
VASP energy: -0.1795 hartree per atom
DOS(E_F): 13.336 states/eV/f.u.

Cell lengths 5.7089, 20.7010, 10.6402 Å; angles 90.00, 90.00, 90.00 degrees
Space group Cmc2_1 (No. 36)
Asymmetric unit:
Nd1 0.0000 0.0142 0.0000 (multiplicity 4)
Nd2 0.0000 0.2754 0.2964 (multiplicity 4)
Nd3 0.0000 0.2932 0.6869 (multiplicity 4)
Nd4 0.0000 0.3842 0.0068 (multiplicity 4)
Nd5 0.0000 0.4827 0.7274 (multiplicity 4)
Sm1 0.0000 0.1139 0.7176 (multiplicity 4)
Sm2 0.0000 0.1152 0.2941 (multiplicity 4)
Dy1 0.0000 0.4047 0.4424 (multiplicity 4)
Th1 0.0000 0.1985 0.9940 (multiplicity 4)

---

No. 6
First-principles (PBE) data for Ac4LaIn4 after structural relaxation, as listed in Alexandria.

Calculated values
Theoretical density: 7.960 g cm⁻³
Magnetization: 0.00 μB per atom
VASP energy: -0.1411 hartree per atom
DOS(E_F): 8.432 states/eV/f.u.

Cell lengths 9.8280, 9.8280, 6.5063 Å; angles 90.00, 90.00, 90.00 degrees
Space group P4_2/n (No. 86, origin choice 2)
Asymmetric unit:
Ac1 0.0762 0.8257 0.1323 (multiplicity 8)
La1 0.2500 0.2500 0.7500 (multiplicity 2)
In1 0.0569 0.1556 0.3579 (multiplicity 8)

---

No. 7
First-principles (PBE) data for SmEuZnPb after structural relaxation, as listed in Alexandria.

Calculated values
Theoretical density: 8.478 g cm⁻³
Magnetization: 1.93 μB per atom
VASP energy: -0.1979 hartree per atom
DOS(E_F): 2.501 states/eV/f.u.

Cell lengths 7.6657, 7.6657, 7.6657 Å; angles 90.00, 90.00, 90.00 degrees
Space group F-43m (No. 216)
Asymmetric unit:
Sm1 0.0000 0.0000 0.0000 (multiplicity 4)
Eu1 0.0000 0.0000 0.5000 (multiplicity 4)
Zn1 0.2500 0.2500 0.2500 (multiplicity 4)
Pb1 0.2500 0.2500 0.7500 (multiplicity 4)

---

No. 8
First-principles (PBE) data for BaGaSe2 after structural relaxation, as listed in Alexandria.

Calculated values
Theoretical density: 4.027 g cm⁻³
Magnetization: 0.00 μB per atom
DOS(E_F): 0.152 states/eV/f.u.
Uncorrected formation energy: -1.027 eV per atom

Cell lengths 6.6137, 6.6137, 13.7625 Å; angles 90.00, 90.00, 90.00 degrees
Space group I-42d (No. 122)
Asymmetric unit:
Ba1 0.0000 0.0000 0.0000 (multiplicity 4)
Ga1 0.0000 0.0000 0.5000 (multiplicity 4)
Se1 0.1745 0.2500 0.6250 (multiplicity 8)

---

Question: What is the magnetization in the sixth record?
Answer: 0.00 μB per atom

---

Copy entry 5 word for word.
First-principles (PBE) data for Nd5Sm2DyTh after structural relaxation, as listed in Alexandria.

Calculated values
Theoretical density: 7.482 g cm⁻³
Magnetization: 0.00 μB per atom
VASP energy: -0.1795 hartree per atom
DOS(E_F): 13.336 states/eV/f.u.

Cell lengths 5.7089, 20.7010, 10.6402 Å; angles 90.00, 90.00, 90.00 degrees
Space group Cmc2_1 (No. 36)
Asymmetric unit:
Nd1 0.0000 0.0142 0.0000 (multiplicity 4)
Nd2 0.0000 0.2754 0.2964 (multiplicity 4)
Nd3 0.0000 0.2932 0.6869 (multiplicity 4)
Nd4 0.0000 0.3842 0.0068 (multiplicity 4)
Nd5 0.0000 0.4827 0.7274 (multiplicity 4)
Sm1 0.0000 0.1139 0.7176 (multiplicity 4)
Sm2 0.0000 0.1152 0.2941 (multiplicity 4)
Dy1 0.0000 0.4047 0.4424 (multiplicity 4)
Th1 0.0000 0.1985 0.9940 (multiplicity 4)

---

Question: Look up the DOS(E_F) of the second one.
Answer: 3.205 states/eV/f.u.

---

Question: What is the theoretical density in the eighth record?
Answer: 4.027 g cm⁻³